This record from Alexandria via LeMat-Bulk describes crystalline K3Tb3OsO8 at its relaxed geometry. The functional is PBE.

```
K3Tb3OsO8
1.0
-4.6592 -4.3928 -2.3156
3.5357 -1.4448 5.6377
-5.1961 5.2520 0.4925
Tb K O Os
3 3 8 1
direct
0.0000 0.5000 0.5000
0.5000 0.0000 0.5000
0.5000 0.5000 0.5000
0.0000 0.0000 0.0000
0.5000 0.5000 0.0000
0.0000 0.5000 0.0000
0.2107 0.4213 0.6733
0.2478 0.0373 0.3269
0.7893 0.5787 0.3267
0.2104 0.9627 0.6731
0.7522 0.9627 0.6731
0.7896 0.0373 0.3269
0.2716 0.5432 0.3147
0.7284 0.4568 0.6853
0.0000 0.0000 0.5000
```

Values from the calculation:
space group = No. 166
volume = 16.80 A^3/atom
DOS at the Fermi energy = 0.3623 states/eV/atom
raw formation energy = -2.34 eV/atom